Crystalline MnBePIrF at its relaxed geometry, computed with PBE+U.

abc: 2.9397 4.3099 6.0650
angles: 69.72 75.84 70.05
Last column: nearest neighbours and their distance in Å.
Element x y z (fractional)
P  0.0403  0.6627  0.9720  2 Be 2.30, 3 Ir 2.40-2.52
Ir  0.7928  0.3120  0.8179  3 P 2.40-2.52, 3 Be 2.42-2.43
Be  0.5497  0.9386  0.6779  1 F 1.59
Mn  0.3829  0.5704  0.3808  3 F 2.25-2.33
F  0.6574  0.0076  0.3976  1 Be 1.59

Properties
energy above the lowest structure with this stoichiometry	0.38	eV/f.u.
DOS at the Fermi energy	1.61	states/eV/f.u.
calculated volume	67	Å³/cell
symmetry	P1 (1)
calculated total energy	-6.319	eV/atom